Entry from Alexandria: ZnCd2Br after structural relaxation (PBE).

Computed properties:
Calculated volume (Å³ per atom): 24.87
Relative energy among the computed polymorphs (eV/f.u.): 0.64
Crystal system: orthorhombic

```
data_ZnCd2Br
_chemical_formula_sum 'Zn2 Cd4 Br2'
_symmetry_space_group_name_H-M 'C m m m'
_symmetry_Int_Tables_number 65
_symmetry_space_group_name_Hall '-C 2 2'
_cell_length_a 5.875
_cell_length_b 8.540
_cell_length_c 3.965
_cell_angle_alpha 90.00
_cell_angle_beta 90.00
_cell_angle_gamma 90.00
loop_
_atom_site_label
_atom_site_type_symbol
_atom_site_fract_x
_atom_site_fract_y
_atom_site_fract_z
_atom_site_occupancy
Zn1 Zn 0.000 0.000 0.000 1
Cd1 Cd 0.250 0.250 0.500 1
Br1 Br 0.000 0.500 0.000 1
```